No. 1
Compound: Th2Sc3Rh2
Source: Alexandria
Functional: GGA-PBE
Structure: optimized geometry

```
Th2Sc3Rh2
1.0
5.747 -1.817 0.000
5.747 1.817 0.000
-3.684 0.000 7.899
Th Sc Rh
2 3 2
direct
0.161 0.161 0.311
0.839 0.839 0.689
0.381 0.381 0.067
0.500 0.500 0.500
0.619 0.619 0.933
0.167 0.167 0.739
0.833 0.833 0.261
```

Symmetry ... C2/m
Raw total energy ... -7.50 eV per atom
Mass density ... 8.102 g/cm3
Energy of formation from the pure elements ... -0.570 eV/atom



No. 2
Compound: Ca3Ga4Au4
Source: Alexandria
Functional: GGA-PBE
Structure: optimized geometry

```
Ca3Ga4Au4
1.0
-2.043 2.275 13.138
2.043 -2.275 13.138
2.043 2.275 -13.138
Ca Ga Au
3 4 4
direct
0.000 0.000 0.000
0.354 0.854 0.500
0.646 0.146 0.500
0.192 0.692 0.500
0.452 0.452 0.000
0.548 0.548 0.000
0.808 0.308 0.500
0.095 0.595 0.500
0.256 0.256 0.000
0.744 0.744 0.000
0.905 0.405 0.500
```

Symmetry ... Immm
Raw total energy ... -3.44 eV per atom
Mass density ... 8.070 g/cm3
Energy of formation from the pure elements ... -0.602 eV/atom



No. 3
Compound: TlNi2Pb2
Source: Alexandria
Functional: GGA-PBE
Structure: optimized geometry

```
TlNi2Pb2
1.0
7.497 0.000 0.000
0.000 7.497 0.000
0.000 0.000 3.712
Tl Ni Pb
2 4 4
direct
0.000 0.000 0.000
0.500 0.500 0.000
0.124 0.376 0.000
0.376 0.876 0.000
0.624 0.124 0.000
0.876 0.624 0.000
0.163 0.663 0.500
0.337 0.163 0.500
0.663 0.837 0.500
0.837 0.337 0.500
```

Symmetry ... P4/mbm
Raw total energy ... -4.05 eV per atom
Mass density ... 11.719 g/cm3
Energy of formation from the pure elements ... 0.219 eV/atom